DFT (PBE) results for a geometry-optimized CsGd2CuTe3S structure.

The structure belongs to space group Cmcm (No. 63); the cell edges are 4.330, 15.521 and 15.077 Å and the angles 90.00°, 90.00° and 90.00°. The inequivalent atoms are Cs at (0.000, 0.092, 0.250), Gd at (0.000, 0.368, 0.076), Cu at (0.000, 0.159, 0.750), Te at (0.000, 0.000, 0.000), Te at (0.000, 0.265, 0.612) and S at (0.000, 0.415, 0.250).

As for the volume: 253 Å³/f.u. As for the total energy: -149.920 eV for the cell shown.

---

DFT (PBE) results for a geometry-optimized CsIrPt structure.

The structure belongs to space group F-43m (No. 216); the cell edges are 6.744, 6.744 and 6.744 Å and the angles 90.00°, 90.00° and 90.00°. The inequivalent atoms are Cs at (0.000, 0.000, 0.000), Ir at (0.250, 0.250, 0.250) and Pt at (0.000, 0.000, 0.500).

As for the volume: 77 Å³/f.u. As for the total energy: -45.684 eV for the cell shown.

---

DFT (PBE) results for a geometry-optimized SrGdAgTe2Se structure.

The structure belongs to space group Cmcm (No. 63); the cell edges are 4.315, 14.788 and 10.839 Å and the angles 90.00°, 90.00° and 90.00°. The inequivalent atoms are Sr at (0.000, 0.237, 0.250), Gd at (0.000, 0.500, 0.000), Ag at (0.000, 0.025, 0.750), Te at (0.000, 0.148, 0.555) and Se at (0.000, 0.418, 0.750).

As for the volume: 173 Å³/f.u. As for the total energy: -107.215 eV for the cell shown.

---

DFT (PBE) results for a geometry-optimized KZrTe3Au structure.

The structure belongs to space group Cmcm (No. 63); the cell edges are 4.170, 16.079 and 11.137 Å and the angles 90.00°, 90.00° and 90.00°. The inequivalent atoms are K at (0.000, 0.237, 0.250), Zr at (0.000, 0.000, 0.000), Te at (0.000, 0.074, 0.750), Te at (0.000, 0.372, 0.539) and Au at (0.000, 0.459, 0.750).

As for the volume: 187 Å³/f.u. As for the total energy: -107.543 eV for the cell shown.

---

DFT (PBE) results for a geometry-optimized ReB2 structure.

The structure belongs to space group P6/mmm (No. 191); the cell edges are 2.9444, 2.9444 and 3.4937 Å and the angles 90.00°, 90.00° and 120.00°. The inequivalent atoms are Re at (0.0000, 0.0000, 0.0000) and B at (0.3333, 0.6667, 0.5000).

As for the volume: 26 Å³/f.u. As for the total energy: -25.131 eV for the cell shown.

---

DFT (PBE) results for a geometry-optimized AcNi2Ge2 structure.

The structure belongs to space group I4/mmm (No. 139); the cell edges are 4.295, 4.295 and 10.131 Å and the angles 90.00°, 90.00° and 90.00°. The inequivalent atoms are Ac at (0.000, 0.000, 0.000), Ni at (0.000, 0.500, 0.250) and Ge at (0.000, 0.000, 0.360).

As for the volume: 93 Å³/f.u. As for the total energy: -55.261 eV for the cell shown.

---

DFT (PBE) results for a geometry-optimized NdSmAu structure.

The structure belongs to space group F-43m (No. 216); the cell edges are 7.014, 7.014 and 7.014 Å and the angles 90.00°, 90.00° and 90.00°. The inequivalent atoms are Nd at (0.000, 0.000, 0.000), Sm at (0.250, 0.250, 0.750) and Au at (0.000, 0.000, 0.500).

As for the volume: 86 Å³/f.u. As for the total energy: -49.942 eV for the cell shown.

---

DFT (PBE) results for a geometry-optimized Rb2ZrSe3 structure.

The structure belongs to space group P2_1/m (No. 11); the cell edges are 8.385, 4.099 and 10.933 Å and the angles 90.00°, 95.76° and 90.00°. The inequivalent atoms are Rb at (0.082, 0.250, 0.144), Rb at (0.247, 0.750, 0.478), Zr at (0.404, 0.250, 0.832), Se at (0.135, 0.250, 0.700), Se at (0.317, 0.750, 0.986) and Se at (0.456, 0.250, 0.286).

As for the volume: 187 Å³/f.u. As for the total energy: -57.584 eV for the cell shown.

---

DFT (PBE) results for a geometry-optimized RbBeCoAs2 structure.

The structure belongs to space group I-4m2 (No. 119); the cell edges are 3.832, 3.832 and 14.314 Å and the angles 90.00°, 90.00° and 90.00°. The inequivalent atoms are Rb at (0.000, 0.000, 0.000), Be at (0.000, 0.500, 0.250), Co at (0.000, 0.500, 0.750) and As at (0.000, 0.000, 0.340).

As for the volume: 105 Å³/f.u. As for the total energy: -44.768 eV for the cell shown.

---

DFT (PBE) results for a geometry-optimized ScTcNiSb structure.

The structure belongs to space group F-43m (No. 216); the cell edges are 6.467, 6.467 and 6.467 Å and the angles 90.00°, 90.00° and 90.00°. The inequivalent atoms are Sc at (0.000, 0.000, 0.000), Tc at (0.250, 0.250, 0.750), Ni at (0.000, 0.000, 0.500) and Sb at (0.250, 0.250, 0.250).

As for the volume: 68 Å³/f.u. As for the total energy: -103.000 eV for the cell shown.

---

DFT (PBE) results for a geometry-optimized Gd2ErFe3Ni6 structure.

The structure belongs to space group R-3m (No. 166, hexagonal axes); the cell edges are 5.0312, 5.0312 and 24.1731 Å and the angles 90.00°, 90.00° and 120.00°. The inequivalent atoms are Gd at (0.0000, 0.0000, 0.1387), Er at (0.0000, 0.0000, 0.0000), Fe at (0.0000, 0.0000, 0.3330), Fe at (0.0000, 0.0000, 0.5000) and Ni at (0.9999, 0.4999, 0.0817).

As for the volume: 177 Å³/f.u. As for the total energy: -226.414 eV for the cell shown.

---

DFT (PBE) results for a geometry-optimized SmGdP2Pd2 structure.

The structure belongs to space group P-3m1 (No. 164); the cell edges are 4.1934, 4.1934 and 7.7065 Å and the angles 90.00°, 90.00° and 120.00°. The inequivalent atoms are Sm at (0.0000, 0.0000, 0.0000), Gd at (0.0000, 0.0000, 0.5000), P at (0.3333, 0.6667, 0.7471) and Pd at (0.3333, 0.6667, 0.2540).

As for the volume: 117 Å³/f.u. As for the total energy: -38.082 eV for the cell shown.

---

> The lowest volume belongs to which entry?

ReB2